Here is a geometry-optimized Nd2Si4PdPt3 structure from Alexandria. Energies are from GGA-PBE.

Computed properties:
symmetry	P-4m2, No. 115
formation energy from raw total energies	-10.87	eV/f.u.

```
10
Lattice="4.274 0.000 0.000 0.000 4.274 0.000 0.000 0.000 9.861" Properties=species:S:1:pos:R:3 pbc="T T T"
Pt 0.000 2.137 1.192
Pt 0.000 0.000 4.930
Pt 2.137 0.000 8.669
Si 2.137 0.000 6.228
Si 0.000 2.137 3.633
Si 0.000 0.000 0.000
Nd 0.000 2.137 7.439
Pd 2.137 2.137 4.930
Nd 2.137 0.000 2.421
Si 2.137 2.137 0.000
```

***

Here is a geometry-optimized ThBe2NbGe2 structure from Alexandria. Energies are from GGA-PBE.

Computed properties:
symmetry	P-3m1, No. 164
ΔH_f (0 K)	-0.435	eV/atom

```
6
Lattice="-1.059 3.690 -0.245 -0.751 -2.008 3.194 6.836 2.160 2.965" Properties=species:S:1:pos:R:3 pbc="T T T"
Nb 3.418 1.080 1.482
Be 1.154 0.525 2.918
Ge 4.095 1.455 4.193
Be 3.873 3.316 2.995
Ge 0.932 2.387 1.720
Th 0.000 0.000 0.000
```

***

Here is a geometry-optimized RbTaAg2F8 structure from Alexandria. Energies are from GGA-PBE.

Computed properties:
symmetry	R32, No. 155
formation energy from raw total energies	-28.02	eV/f.u.

```
12
Lattice="5.055 0.000 0.000 2.528 4.378 0.000 2.528 1.459 9.322" Properties=species:S:1:pos:R:3 pbc="T T T"
F 4.255 4.190 5.879
F 6.556 2.862 3.443
Rb 0.000 0.000 0.000
F 4.354 1.590 5.879
Ag 2.528 1.459 1.655
F 6.556 2.976 5.879
F 4.354 4.247 3.443
F 5.055 2.919 0.524
Ag 7.583 4.378 7.667
F 4.255 1.647 3.443
F 5.055 2.919 8.797
Ta 5.055 2.919 4.661
```

***

Here is a geometry-optimized SmTh2Sn structure from Alexandria. Energies are from GGA-PBE.

Computed properties:
symmetry	P4/mmm, No. 123
ΔH_f (0 K)	-0.343	eV/atom

```
4
Lattice="-4.090 -0.741 -2.889 -2.339 -1.905 3.800 -1.643 4.405 1.197" Properties=species:S:1:pos:R:3 pbc="T T T"
Th -1.170 -0.952 1.900
Sm -4.036 0.880 1.053
Th -0.822 2.203 0.598
Sn -2.045 -0.370 -1.445
```

***

Here is a geometry-optimized Hf2TlCo2 structure from Alexandria. Energies are from GGA-PBE.

Computed properties:
symmetry	I4/mmm, No. 139
ΔH_f (0 K)	0.077	eV/atom

```
5
Lattice="-0.024 -3.203 -0.940 2.633 0.560 -1.974 6.455 -3.220 4.875" Properties=species:S:1:pos:R:3 pbc="T T T"
Hf 2.643 -1.815 0.188
Hf 6.421 -4.048 1.772
Co 5.196 -1.991 0.722
Co 3.868 -3.872 1.239
Tl 0.000 0.000 0.000
```

***

Here is a geometry-optimized Tb6PmSm3Tm2 structure from Alexandria. Energies are from GGA-PBE.

Computed properties:
symmetry	C2/m, No. 12
ΔH_f (0 K)	0.016	eV/atom

```
12
Lattice="6.185 0.001 0.009 -3.090 5.358 0.009 -1.044 -1.807 11.657" Properties=species:S:1:pos:R:3 pbc="T T T"
Tb -0.014 3.554 8.782
Pm 0.000 0.000 0.000
Tb -0.008 -0.013 8.774
Tm 3.094 1.786 0.009
Sm -2.064 3.560 5.838
Tb 2.059 3.565 2.901
Tb 3.085 1.764 8.782
Sm 1.026 1.776 5.838
Tb 2.065 -0.002 2.893
Sm 4.115 -0.008 5.838
Tm 0.001 3.573 0.009
Tb -1.034 1.788 2.893
```